No. 1
Density functional theory data (SCAN) for a crystal of NiMoPt relaxed with PBEsol.

**D(E_F)**: 2.855 states/eV per cell
**Magnetization**: 0.0778 μB per atom
**Excess energy over the best structure of this formula in the dataset**: 73 meV/atom

a = 4.2310 Å, b = 4.2310 Å, c = 2.6136 Å
α = 90.00°, β = 90.00°, γ = 120.00°
With the nearest neighbours (Å) after each atom.
Space group P-6m2 (No. 187)
One atom of each set of equivalent atoms:
1 Ni 0.0000 0.0000 0.0000 [1 per cell]  3 Pt 2.44, 2 Ni 2.61
2 Mo 0.6667 0.3333 0.5000 [1 per cell]  2 Mo 2.61, 6 Ni 2.77, 6 Pt 2.77
3 Pt 0.3333 0.6667 0.0000 [1 per cell]  3 Ni 2.44, 2 Pt 2.61

No. 2
Density functional theory data (SCAN) for a crystal of MgSi2Os relaxed with PBEsol.

**D(E_F)**: 9.774 states/eV per cell
**Magnetization**: 0.0000 μB per atom
**Formation energy (no corrections)**: 8.1 kcal/mol of atoms

a = 6.0841 Å, b = 6.0841 Å, c = 6.0841 Å
α = 90.00°, β = 90.00°, γ = 90.00°
With the nearest neighbours (Å) after each atom.
Space group F-43m (No. 216)
One atom of each set of equivalent atoms:
1 Mg 0.0000 0.0000 0.0000 [4 per cell]  4 Os 2.63, 4 Si 2.63
2 Si 0.0000 0.0000 0.5000 [4 per cell]  4 Si 2.63, 4 Os 2.63
3 Si 0.2500 0.2500 0.2500 [4 per cell]  4 Mg 2.63, 4 Si 2.63
4 Os 0.2500 0.2500 0.7500 [4 per cell]  4 Mg 2.63, 4 Si 2.63

No. 3
Density functional theory data (SCAN) for a crystal of Hf2NiP relaxed with PBEsol.

**D(E_F)**: 3.744 states/eV per cell
**Magnetization**: 0.0000 μB per atom
**Total energy**: -39.0351 eV per atom

a = 5.1271 Å, b = 3.5578 Å, c = 7.3270 Å
α = 90.00°, β = 109.77°, γ = 90.00°
With the nearest neighbours (Å) after each atom.
Space group P2_1/m (No. 11)
One atom of each set of equivalent atoms:
1 Hf 0.2153 0.2500 0.4248 [2 per cell]  4 P 2.65-2.78, 3 Ni 2.67-2.83
2 Hf 0.2778 0.7500 0.0713 [2 per cell]  4 Ni 2.63-2.78, 3 P 2.68-2.82
3 Ni 0.1452 0.2500 0.7912 [2 per cell]  2 P 2.27
4 P 0.3602 0.7500 0.7102 [2 per cell]  2 Ni 2.27

No. 4
Density functional theory data (SCAN) for a crystal of ZnAsRh2 relaxed with PBEsol.

**D(E_F)**: 8.401 states/eV per cell
**Magnetization**: 0.0000 μB per atom
**Excess energy over the best structure of this formula in the dataset**: 302 meV/atom

a = 2.8581 Å, b = 2.8581 Å, c = 24.5854 Å
α = 90.00°, β = 90.00°, γ = 120.00°
With the nearest neighbours (Å) after each atom.
Space group R3m (No. 160, hexagonal axes)
One atom of each set of equivalent atoms:
1 Zn 0.0000 0.0000 0.0000 [3 per cell]  3 Rh 2.54, 3 As 2.80
2 As 0.0000 0.0000 0.2415 [3 per cell]  3 Rh 2.47
3 Rh 0.0000 0.0000 0.5003 [3 per cell]  3 As 2.47, 3 Rh 2.73
4 Rh 0.0000 0.0000 0.7452 [3 per cell]  3 Zn 2.54, 3 Rh 2.73